! Ta2AlCo (PBE, optimized geometry); values from VASP
! Crystal system ... tetragonal
! Energy ... -8.37 eV/atom
! DOS at the Fermi energy ... 14.6 states/eV/cell
! DFT formation energy ... 0.265 eV/atom
! Symmetry ... No. 122
&SYSTEM
  ibrav = 0, nat = 16, ntyp = 3
/
ATOMIC_SPECIES
Ta 180.95 Ta.upf
Al 26.98 Al.upf
Co 58.93 Co.upf
ATOMIC_POSITIONS angstrom
Ta 1.460 5.321 0.668
Ta 1.774 1.460 4.678
Ta 1.774 2.087 2.005
Ta 2.087 5.321 3.342
Ta 5.007 1.774 3.342
Ta 5.321 5.007 2.005
Ta 5.321 5.635 4.678
Ta 5.635 1.774 0.668
Al 0.000 0.000 2.673
Al 0.000 3.547 4.010
Al 3.547 0.000 1.337
Al 3.547 3.547 0.000
Co 0.000 0.000 0.000
Co 0.000 3.547 1.337
Co 3.547 0.000 4.010
Co 3.547 3.547 2.673
CELL_PARAMETERS angstrom
7.095 0.000 0.000
0.000 7.095 0.000
0.000 0.000 5.347